A) Density functional theory data (PBE-GGA) for a relaxed RbGe2I2 crystal.

Calculated values
Volume in Å³/f.u.: 185.7
Density in g/cm³: 4.33

Structure (CIF):
```
data_RbGe2I2
_chemical_formula_sum 'Rb2 Ge4 I4'
_cell_length_a 9.538
_cell_length_b 9.538
_cell_length_c 4.083
_cell_angle_alpha 90.00
_cell_angle_beta 90.00
_cell_angle_gamma 90.00
_symmetry_space_group_name_H-M 'P 4/m b m'
_symmetry_Int_Tables_number 127
_symmetry_space_group_name_Hall '-P 4 2ab'
loop_
_atom_site_label
_atom_site_fract_x
_atom_site_fract_y
_atom_site_fract_z
Rb1 0.000 0.000 0.000
Ge1 0.203 0.297 0.500
I1 0.149 0.649 0.000
```

B) Density functional theory data (PBE-GGA) for a relaxed RbGe2I2 crystal.

Calculated values
Volume in Å³/f.u.: 167.4
Density in g/cm³: 4.81

Structure (CIF):
```
data_RbGe2I2
_chemical_formula_sum 'Rb2 Ge4 I4'
_cell_length_a 4.091
_cell_length_b 4.091
_cell_length_c 20.003
_cell_angle_alpha 90.00
_cell_angle_beta 90.00
_cell_angle_gamma 90.00
_symmetry_space_group_name_H-M 'I 4/m m m'
_symmetry_Int_Tables_number 139
_symmetry_space_group_name_Hall '-I 4 2'
loop_
_atom_site_label
_atom_site_fract_x
_atom_site_fract_y
_atom_site_fract_z
Rb1 0.000 0.000 0.000
Ge1 0.000 0.500 0.250
I1 0.000 0.000 0.385
```

Most stable structure, least stable structure: B), A).

A) Density functional theory data (PBE-GGA) for a relaxed RbGe2I crystal.

Calculated values
Volume in Å³/f.u.: 139.4
Density in g/cm³: 4.26

Structure (CIF):
```
data_RbGe2I
_chemical_formula_sum 'Rb4 Ge8 I4'
_cell_length_a 9.363
_cell_length_b 9.363
_cell_length_c 6.362
_cell_angle_alpha 90.00
_cell_angle_beta 90.00
_cell_angle_gamma 90.00
_symmetry_space_group_name_H-M 'I -4 2 d'
_symmetry_Int_Tables_number 122
_symmetry_space_group_name_Hall 'I -4 2bw'
loop_
_atom_site_label
_atom_site_fract_x
_atom_site_fract_y
_atom_site_fract_z
Rb1 0.000 0.000 0.000
Ge1 0.215 0.250 0.625
I1 0.000 0.000 0.500
```

B) Density functional theory data (PBE-GGA) for a relaxed RbGe2I crystal.

Calculated values
Volume in Å³/f.u.: 122.8
Density in g/cm³: 4.84

Structure (CIF):
```
data_RbGe2I
_chemical_formula_sum 'Rb4 Ge8 I4'
_cell_length_a 7.890
_cell_length_b 7.890
_cell_length_c 7.890
_cell_angle_alpha 90.00
_cell_angle_beta 90.00
_cell_angle_gamma 90.00
_symmetry_space_group_name_H-M 'F m -3 m'
_symmetry_Int_Tables_number 225
_symmetry_space_group_name_Hall '-F 4 2 3'
loop_
_atom_site_label
_atom_site_fract_x
_atom_site_fract_y
_atom_site_fract_z
Rb1 0.000 0.000 0.000
Ge1 0.250 0.250 0.250
I1 0.000 0.000 0.500
```

Most stable structure, least stable structure: A), B).

A) Density functional theory data (PBE-GGA) for a relaxed RbGeI2 crystal.

Calculated values
Volume in Å³/f.u.: 217.2
Density in g/cm³: 3.15

Structure (CIF):
```
data_RbGeI2
_chemical_formula_sum 'Rb4 Ge4 I8'
_cell_length_a 6.983
_cell_length_b 6.983
_cell_length_c 17.816
_cell_angle_alpha 90.00
_cell_angle_beta 90.00
_cell_angle_gamma 90.00
_symmetry_space_group_name_H-M 'I -4 2 d'
_symmetry_Int_Tables_number 122
_symmetry_space_group_name_Hall 'I -4 2bw'
loop_
_atom_site_label
_atom_site_fract_x
_atom_site_fract_y
_atom_site_fract_z
Rb1 0.000 0.000 0.000
Ge1 0.000 0.000 0.500
I1 0.166 0.250 0.625
```

B) Density functional theory data (PBE-GGA) for a relaxed RbGeI2 crystal.

Calculated values
Volume in Å³/f.u.: 146.4
Density in g/cm³: 4.67

Structure (CIF):
```
data_RbGeI2
_chemical_formula_sum 'Rb4 Ge4 I8'
_cell_length_a 8.367
_cell_length_b 8.367
_cell_length_c 8.367
_cell_angle_alpha 90.00
_cell_angle_beta 90.00
_cell_angle_gamma 90.00
_symmetry_space_group_name_H-M 'F m -3 m'
_symmetry_Int_Tables_number 225
_symmetry_space_group_name_Hall '-F 4 2 3'
loop_
_atom_site_label
_atom_site_fract_x
_atom_site_fract_y
_atom_site_fract_z
Rb1 0.000 0.000 0.000
Ge1 0.000 0.000 0.500
I1 0.250 0.250 0.250
```

Most stable structure, least stable structure: A), B).

A) Density functional theory data (PBE-GGA) for a relaxed Rb2Ge2I5 crystal.

Calculated values
Volume in Å³/f.u.: 420.8
Density in g/cm³: 3.75

Structure (CIF):
```
data_Rb2Ge2I5
_chemical_formula_sum 'Rb4 Ge4 I10'
_cell_length_a 16.796
_cell_length_b 6.423
_cell_length_c 8.560
_cell_angle_alpha 90.00
_cell_angle_beta 114.31
_cell_angle_gamma 90.00
_symmetry_space_group_name_H-M 'C 1 2/m 1'
_symmetry_Int_Tables_number 12
loop_
_symmetry_equiv_pos_as_xyz
'x,y,z'
'-x,-y,-z'
'-x,y,-z'
'x,-y,z'
'x+1/2,y+1/2,z'
'-x+1/2,-y+1/2,-z'
'-x+1/2,y+1/2,-z'
'x+1/2,-y+1/2,z'
loop_
_atom_site_label
_atom_site_fract_x
_atom_site_fract_y
_atom_site_fract_z
Rb1 0.105 0.000 0.294
Ge1 0.158 0.500 0.887
I1 0.000 0.500 0.000
I2 0.153 0.500 0.553
I3 0.157 0.000 0.897
```

B) Density functional theory data (PBE-GGA) for a relaxed Rb2Ge2I5 crystal.

Calculated values
Volume in Å³/f.u.: 365.5
Density in g/cm³: 4.32

Structure (CIF):
```
data_Rb2Ge2I5
_chemical_formula_sum 'Rb4 Ge4 I10'
_cell_length_a 9.472
_cell_length_b 8.697
_cell_length_c 8.874
_cell_angle_alpha 90.00
_cell_angle_beta 90.00
_cell_angle_gamma 90.00
_symmetry_space_group_name_H-M 'A m m 2'
_symmetry_Int_Tables_number 38
loop_
_symmetry_equiv_pos_as_xyz
'x,y,z'
'-x,-y,z'
'-x,y,z'
'x,-y,z'
'x,y+1/2,z+1/2'
'-x,-y+1/2,z+1/2'
'-x,y+1/2,z+1/2'
'x,-y+1/2,z+1/2'
loop_
_atom_site_label
_atom_site_fract_x
_atom_site_fract_y
_atom_site_fract_z
Rb1 0.000 0.000 0.000
Rb2 0.500 0.000 0.010
Ge1 0.325 0.000 0.481
I1 0.000 0.000 0.541
I2 0.277 0.237 0.274
```

Most stable structure, least stable structure: B), A).